Below is an optimized crystal structure of MnSeCl2O, with properties calculated at the GGA+U level.

crystal system: tetragonal
total DFT energy (no corrections): -3.854 eV/atom
magnetization: 2.889 μB/cell

Unit cell a=5.457 b=5.457 c=3.665 alpha=90.00 beta=90.00 gamma=90.00
Positions (direct):
Mn: 0.000 0.000 0.000
Se: 0.500 0.500 0.000
Cl: 0.000 0.500 0.500
Cl: 0.500 0.000 0.500
O: 0.000 0.000 0.500